# 1
Below is HoSnBi after structural relaxation, with properties calculated at the PBE level.

Summary:
DFT formation energy, eV per formula unit: -1.0

abc: 3.470 3.470 7.499
angles: 90.00 90.00 90.00
Atoms (fractional coordinates):
1 Ho 0.000 0.000 0.000
2 Sn 0.500 0.500 0.276
3 Bi 0.500 0.500 0.693


# 2
Below is Ho3SnBi after structural relaxation, with properties calculated at the PBE level.

Summary:
DFT formation energy, eV per formula unit: -1.9

abc: 8.842 8.842 8.571
angles: 94.46 94.46 30.35
Atoms (fractional coordinates):
1 Ho 0.036 0.036 0.245
2 Ho 0.175 0.175 0.945
3 Ho 0.257 0.257 0.343
4 Ho 0.743 0.743 0.657
5 Ho 0.825 0.825 0.055
6 Ho 0.964 0.964 0.755
7 Sn 0.350 0.350 0.825
8 Sn 0.650 0.650 0.175
9 Bi 0.117 0.117 0.585
10 Bi 0.883 0.883 0.415


# 3
Below is Ho2SnBi after structural relaxation, with properties calculated at the PBE level.

Summary:
DFT formation energy, eV per formula unit: -2.3

abc: 4.039 4.039 6.815
angles: 90.00 90.00 90.00
Atoms (fractional coordinates):
1 Ho 0.000 0.000 0.246
2 Ho 0.000 0.000 0.754
3 Sn 0.500 0.500 0.000
4 Bi 0.500 0.500 0.500


# 4
Below is Ho4SnBi after structural relaxation, with properties calculated at the PBE level.

Summary:
DFT formation energy, eV per formula unit: -1.7

abc: 8.838 8.838 7.573
angles: 101.29 101.29 40.88
Atoms (fractional coordinates):
1 Ho 0.047 0.808 0.561
2 Ho 0.192 0.953 0.939
3 Ho 0.215 0.475 0.880
4 Ho 0.475 0.215 0.380
5 Ho 0.525 0.785 0.620
6 Ho 0.785 0.525 0.120
7 Ho 0.808 0.047 0.061
8 Ho 0.953 0.192 0.439
9 Sn 0.000 0.500 0.500
10 Sn 0.500 0.000 0.000
11 Bi 0.373 0.627 0.250
12 Bi 0.627 0.373 0.750


# 5
Below is Ho7Sn5Bi after structural relaxation, with properties calculated at the PBE level.

Summary:
DFT formation energy, eV per formula unit: -6.3

abc: 8.314 8.314 8.314
angles: 136.13 94.77 101.29
Atoms (fractional coordinates):
1 Ho 0.000 0.000 0.000
2 Ho 0.109 0.775 0.334
3 Ho 0.389 0.389 0.000
4 Ho 0.442 0.775 0.666
5 Ho 0.537 0.037 0.500
6 Ho 0.625 0.289 0.336
7 Ho 0.952 0.289 0.664
8 Sn 0.034 0.534 0.500
9 Sn 0.286 0.279 0.505
10 Sn 0.286 0.781 0.007
11 Sn 0.774 0.279 0.993
12 Sn 0.774 0.781 0.495
13 Bi 0.707 0.707 0.000


# 6
Below is Ho4SnBiTe2 after structural relaxation, with properties calculated at the PBE level.

abc: 7.589 4.396 7.623
angles: 90.00 109.47 90.00
Atoms (fractional coordinates):
1 Ho 0.238 0.000 0.240
2 Ho 0.242 0.500 0.754
3 Ho 0.758 0.500 0.246
4 Ho 0.762 0.000 0.760
5 Sn 0.000 0.500 0.000
6 Bi 0.000 0.000 0.500
7 Te 0.500 0.000 0.000
8 Te 0.500 0.500 0.500


# 7
Below is Ho6SnBi2Te3 after structural relaxation, with properties calculated at the PBE level.

abc: 9.826 9.826 8.777
angles: 102.56 102.56 25.90
Atoms (fractional coordinates):
1 Ho 0.000 0.000 0.238
2 Ho 0.000 0.000 0.762
3 Ho 0.334 0.334 0.419
4 Ho 0.339 0.339 0.919
5 Ho 0.661 0.661 0.081
6 Ho 0.666 0.666 0.581
7 Sn 0.500 0.500 0.000
8 Bi 0.167 0.167 0.334
9 Bi 0.833 0.833 0.666
10 Te 0.169 0.169 0.834
11 Te 0.500 0.500 0.500
12 Te 0.831 0.831 0.166


# 8
Below is SrHoBi2 after structural relaxation, with properties calculated at the PBE level.

Summary:
DFT formation energy, eV per formula unit: -3.0

abc: 4.520 4.520 8.416
angles: 105.68 105.68 60.34
Atoms (fractional coordinates):
1 Sr 0.000 0.000 0.000
2 Ho 0.500 0.500 0.500
3 Bi 0.242 0.242 0.725
4 Bi 0.758 0.758 0.275


no.,E (eV per cell)
1,-13.475
2,-47.004
3,-19.352
4,-55.870
5,-62.230
6,-40.969
7,-61.388
8,-17.038